BaHfWO6 (PBE with a Hubbard U, optimized geometry); space-group type = Imma (74); energy = -8.143 eV per atom
1.0
-0.112 3.333 -6.553
-6.674 -3.024 -1.423
1.012 4.071 6.178
Ba Hf W O
2 2 2 12
Cartesian
-3.726 4.462 -1.792
-2.049 -0.082 -0.006
0.450 3.702 -0.188
0.506 2.036 3.089
-3.393 0.155 -3.988
-0.056 1.666 -3.277
-3.792 3.011 1.597
0.015 5.257 -1.452
-0.333 3.466 -3.921
-4.269 0.400 -2.285
-0.290 2.202 -1.436
-4.311 1.663 -4.769
-1.983 1.369 -3.395
-5.790 -0.876 -0.346
-5.442 0.915 2.122
-1.506 3.981 0.486
-5.484 2.178 -0.362
-1.463 2.717 2.971